No. 1
Compound: BWIN2
Source: the Alexandria database
Functional: PBE
Structure: relaxed

Properties
Energy above the lowest structure with this stoichiometry, meV/atom: 1152
Total magnetization, μB/atom: 0.00
Energy, eV per cell: -25.94
DOS at the Fermi energy, states/eV per cell: 4.6
SG: P4/mmm, No. 123

a = 3.793 Å, b = 3.793 Å, c = 4.383 Å
α = 90.00°, β = 90.00°, γ = 90.00°
Element x y z (fractional)
B 0.000 0.000 0.000
W 0.500 0.500 0.500
I 0.000 0.000 0.500
N 0.000 0.500 0.000
N 0.500 0.000 0.000


No. 2
Compound: Fe4Ni3Pd
Source: the Alexandria database
Functional: PBE
Structure: relaxed

Properties
Total magnetization, μB/atom: 1.63
Energy, eV per cell: -113.30
Formation energy, eV per atom: -0.03
DOS at the Fermi energy, states/eV per cell: 10.1
SG: Pmma, No. 51

a = 8.362 Å, b = 5.137 Å, c = 4.467 Å
α = 90.00°, β = 90.00°, γ = 90.00°
Element x y z (fractional)
Fe 0.000 0.241 0.000
Fe 0.000 0.759 0.000
Fe 0.250 0.240 0.329
Fe 0.250 0.760 0.329
Fe 0.500 0.241 0.000
Fe 0.500 0.759 0.000
Fe 0.750 0.240 0.671
Fe 0.750 0.760 0.671
Ni 0.000 0.000 0.500
Ni 0.250 0.000 0.831
Ni 0.250 0.500 0.849
Ni 0.500 0.000 0.500
Ni 0.750 0.000 0.169
Ni 0.750 0.500 0.151
Pd 0.000 0.500 0.500
Pd 0.500 0.500 0.500